Record 1
DFT (PBE) results for a relaxed LiCePrIn crystal.

Output
- E_tot: -3.9843 eV/atom
- Spin magnetization: 1.04 μB/f.u.
- E_form: -0.143 eV per atom
- Symmetry: F-43m (216)
- Fermi-level density of states: 2.8386 states/eV/atom

abc: 5.441 5.441 5.441
angles: 60.00 60.00 60.00
Positions (direct):
Li: 0.000 0.000 0.000
Ce: 0.250 0.250 0.250
Pr: 0.750 0.750 0.750
In: 0.500 0.500 0.500

Record 2
DFT (PBE) results for a relaxed NaDy2Ga crystal.

Output
- E_tot: -3.4266 eV/atom
- Spin magnetization: 0.00 μB/f.u.
- E_form: -0.039 eV per atom
- Symmetry: R-3m (166)
- Fermi-level density of states: 1.0103 states/eV/atom
- Offset from the most stable computed form: 117 meV/atom

abc: 11.518 11.518 11.518
angles: 17.74 17.74 17.74
Positions (direct):
Na: 0.000 0.000 0.000
Dy: 0.104 0.104 0.104
Dy: 0.896 0.896 0.896
Ga: 0.500 0.500 0.500